Entry 1:
First-principles (PBE-GGA) data for crystalline Ba3TmTl2O6 at its relaxed geometry, as listed in Alexandria via LeMat-Bulk.

Summary:
- Calculated total energy: -5.8754 eV/atom

Cell: 6.268 6.268 7.093 Å, 90.00 90.00 120.00°
Fractional positions:
Ba 0.000 0.000 0.000
Ba 0.333 0.667 0.613
Ba 0.667 0.333 0.387
Tm 0.000 0.000 0.500
Tl 0.333 0.667 0.129
Tl 0.667 0.333 0.871
O 0.164 0.329 0.316
O 0.164 0.836 0.316
O 0.329 0.164 0.684
O 0.671 0.836 0.316
O 0.836 0.164 0.684
O 0.836 0.671 0.684

---

Entry 2:
First-principles (PBE-GGA) data for crystalline Ga2AgPd2 at its relaxed geometry, as listed in Alexandria via LeMat-Bulk.

Summary:
- Calculated formation energy: -2.33 eV per formula unit

Cell: 7.328 7.328 2.955 Å, 90.00 90.00 90.00°
Fractional positions:
Ga 0.147 0.353 0.000
Ga 0.353 0.853 0.000
Ga 0.647 0.147 0.000
Ga 0.853 0.647 0.000
Ag 0.000 0.000 0.000
Ag 0.500 0.500 0.000
Pd 0.150 0.650 0.500
Pd 0.350 0.150 0.500
Pd 0.650 0.850 0.500
Pd 0.850 0.350 0.500

---

Entry 3:
First-principles (PBE-GGA) data for crystalline Hf2Zr6In at its relaxed geometry, as listed in Alexandria via LeMat-Bulk.

Summary:
- Calculated formation energy: 3.16 eV per formula unit

Cell: 8.128 8.128 8.128 Å, 143.41 136.27 58.30°
Fractional positions:
Hf 0.109 0.109 0.000
Hf 0.891 0.891 0.000
Zr 0.051 0.301 0.750
Zr 0.239 0.500 0.739
Zr 0.448 0.699 0.750
Zr 0.552 0.301 0.250
Zr 0.761 0.500 0.261
Zr 0.949 0.699 0.250
In 0.500 0.000 0.500

---

Entry 4:
First-principles (PBE-GGA) data for crystalline Ta2HSe at its relaxed geometry, as listed in Alexandria via LeMat-Bulk.

Summary:
- Calculated total energy: -7.4130 eV/atom

Cell: 5.075 5.075 10.047 Å, 90.00 90.00 90.00°
Fractional positions:
Ta 0.144 0.250 0.125
Ta 0.250 0.644 0.375
Ta 0.250 0.856 0.875
Ta 0.356 0.250 0.625
Ta 0.644 0.750 0.625
Ta 0.750 0.144 0.875
Ta 0.750 0.356 0.375
Ta 0.856 0.750 0.125
H 0.000 0.000 0.000
H 0.000 0.500 0.250
H 0.500 0.000 0.750
H 0.500 0.500 0.500
Se 0.000 0.000 0.500
Se 0.000 0.500 0.750
Se 0.500 0.000 0.250
Se 0.500 0.500 0.000

---

Entry 5:
First-principles (PBE-GGA) data for crystalline LiMn4Hg at its relaxed geometry, as listed in Alexandria via LeMat-Bulk.

Summary:
- Calculated formation energy: 2.64 eV per formula unit

Cell: 4.879 4.879 4.879 Å, 60.00 60.00 60.00°
Fractional positions:
Li 0.000 0.000 0.000
Mn 0.121 0.626 0.626
Mn 0.626 0.121 0.626
Mn 0.626 0.626 0.121
Mn 0.626 0.626 0.626
Hg 0.250 0.250 0.250

---

Entry 6:
First-principles (PBE-GGA) data for crystalline Ca2Ac5Pr3 at its relaxed geometry, as listed in Alexandria via LeMat-Bulk.

Summary:
- Calculated formation energy: 0.42 eV per formula unit

Cell: 6.713 6.713 12.240 Å, 90.06 90.06 48.53°
Fractional positions:
Ca 0.102 0.102 0.206
Ca 0.898 0.898 0.794
Ac 0.196 0.196 0.897
Ac 0.298 0.298 0.595
Ac 0.500 0.500 0.000
Ac 0.702 0.702 0.405
Ac 0.804 0.804 0.103
Pr 0.000 0.000 0.500
Pr 0.404 0.404 0.306
Pr 0.596 0.596 0.694

---

Entry 7:
First-principles (PBE-GGA) data for crystalline YTlCo3 at its relaxed geometry, as listed in Alexandria via LeMat-Bulk.

Summary:
- Calculated formation energy: 5.40 eV per formula unit

Cell: 4.771 4.771 4.771 Å, 90.00 90.00 90.00°
Fractional positions:
Y 0.000 0.000 0.000
Tl 0.500 0.500 0.500
Co 0.000 0.500 0.500
Co 0.500 0.000 0.500
Co 0.500 0.500 0.000

---

Entry 8:
First-principles (PBE-GGA) data for crystalline KNiAu at its relaxed geometry, as listed in Alexandria via LeMat-Bulk.

Summary:
- Calculated formation energy: 3.41 eV per formula unit

Cell: 7.116 7.116 7.116 Å, 90.00 90.00 90.00°
Fractional positions:
K 0.000 0.000 0.000
K 0.000 0.500 0.500
K 0.500 0.000 0.500
K 0.500 0.500 0.000
Ni 0.250 0.250 0.250
Ni 0.250 0.750 0.750
Ni 0.750 0.250 0.750
Ni 0.750 0.750 0.250
Au 0.250 0.250 0.750
Au 0.250 0.750 0.250
Au 0.750 0.250 0.250
Au 0.750 0.750 0.750

---

What did the fourth record say?
First-principles (PBE-GGA) data for crystalline Ta2HSe at its relaxed geometry, as listed in Alexandria via LeMat-Bulk.

Summary:
- Calculated total energy: -7.4130 eV/atom

Cell: 5.075 5.075 10.047 Å, 90.00 90.00 90.00°
Fractional positions:
Ta 0.144 0.250 0.125
Ta 0.250 0.644 0.375
Ta 0.250 0.856 0.875
Ta 0.356 0.250 0.625
Ta 0.644 0.750 0.625
Ta 0.750 0.144 0.875
Ta 0.750 0.356 0.375
Ta 0.856 0.750 0.125
H 0.000 0.000 0.000
H 0.000 0.500 0.250
H 0.500 0.000 0.750
H 0.500 0.500 0.500
Se 0.000 0.000 0.500
Se 0.000 0.500 0.750
Se 0.500 0.000 0.250
Se 0.500 0.500 0.000